Here is a relaxed structure of HfCl2 from OQMD via LeMat-Bulk. Energies are from PBE.

Cell: 6.4944 6.4944 3.1450 Å, 90.00 90.00 90.00°
Closest atoms and distances in Å follow each position.
Space group P4_2/mnm (No. 136)
Inequivalent atoms, fractional coordinates:
Hf (0.0000, 0.0000, 0.0000)  6 Cl 2.54-2.58
Cl (0.2231, 0.2231, 0.5000)  3 Hf 2.54-2.58

Calculated volume, A^3/atom: 22.11
Energy, eV per atom: -5.724